Entry from Alexandria: Mg2Ir at its PBEsol-relaxed geometry (SCAN).

Results
size of the total moment	0.000	μB per atom
formation energy	-0.38	eV per atom
crystal system	trigonal
density	8.35	g/cm³

Unit cell a=4.3755 b=4.3755 c=2.8881 alpha=90.00 beta=90.00 gamma=120.00
Space group P-3m1 (No. 164)
Unique sites:
Mg 0.3333 0.6667 0.1716 (multiplicity 2)
Ir 0.0000 0.0000 0.5000 (multiplicity 1)

***

Entry from Alexandria: KTlP4 at its PBEsol-relaxed geometry (SCAN).

Results
size of the total moment	0.000	μB per atom
formation energy	0.12	eV per atom
crystal system	cubic
density	4.71	g/cm³

Unit cell a=8.029 b=8.029 c=8.029 alpha=90.00 beta=90.00 gamma=90.00
Space group F-43m (No. 216)
Unique sites:
K 0.000 0.000 0.000 (multiplicity 4)
Tl 0.250 0.250 0.250 (multiplicity 4)
P 0.102 0.102 0.602 (multiplicity 16)